Compound: Na2VHS
Source: Alexandria
Functional: PBE
Structure: relaxed

Properties
energy above the most stable polymorph in this dataset	0	meV/atom
size of the total moment	4.00	Bohr magnetons per cell
DOS(E_F)	0.440	states/eV/atom

Cell: 4.375 4.133 4.375 Å, 90.00 90.00 90.00°
Positions (direct):
Na1 0.000 0.000 0.500
Na2 0.500 0.000 0.000
S1 0.500 0.500 0.500
H1 0.000 0.000 0.000
V1 0.000 0.500 0.000